Record 1
12
Lattice="3.140 0.000 0.000 -1.570 2.719 0.000 0.000 0.000 26.020" Properties=species:S:1:pos:R:3 comment="Ag2AsPt PBE relaxed" magmom_total_mub_per_fu=0.000 total_energy_ev_per_cell=-48.8 formation_energy_kj_per_mol_fu=11.5 pbc="T T T"
Ag 0.000 0.000 0.000
Ag 0.000 0.000 6.395
Ag 0.000 1.813 17.346
Ag 0.000 1.813 23.742
Ag 1.570 0.906 8.673
Ag 1.570 0.906 15.068
As 0.000 0.000 12.611
As 0.000 1.813 3.937
As 1.570 0.906 21.284
Pt 0.000 0.000 19.584
Pt 0.000 1.813 10.911
Pt 1.570 0.906 2.238

Record 2
5
Lattice="5.222 0.000 0.000 0.000 5.222 0.000 0.000 0.000 3.937" Properties=species:S:1:pos:R:3 comment="Pm2CdOsC PBE relaxed" magmom_total_mub_per_fu=0.000 total_energy_ev_per_cell=-32.4 formation_energy_kj_per_mol_fu=-144.8 pbc="T T T"
Pm 0.000 2.611 0.000
Pm 2.611 0.000 0.000
Cd 0.000 0.000 1.968
Os 2.611 2.611 1.968
C 2.611 2.611 0.000

Record 3
15
Lattice="3.363 1.942 6.573 -3.363 1.942 6.573 0.000 -3.883 6.573" Properties=species:S:1:pos:R:3 comment="Rb3Tm3PtO8 PBE relaxed" e_form_raw_ev_per_atom=-2.33 magmom_total_mub_per_fu=0.000 total_energy_ev_per_cell=-97.0 pbc="T T T"
Rb -1.682 -0.971 6.573
Rb -1.682 0.971 13.145
Rb 0.000 1.942 6.573
Tm -3.363 0.000 9.859
Tm -1.682 0.971 3.286
Tm 1.682 0.971 3.286
Pt 0.000 0.000 9.859
O 0.000 0.000 4.394
O -1.585 -0.915 10.946
O 0.000 -1.830 8.772
O -1.585 0.915 8.772
O 1.585 -0.915 10.946
O 0.000 1.830 10.946
O 1.585 0.915 8.772
O 0.000 0.000 15.324

Record 4
5
Lattice="6.095 0.000 0.000 0.000 6.095 0.000 0.000 0.000 5.445" Properties=species:S:1:pos:R:3 comment="Sr2MgAgBi PBE relaxed" magmom_total_mub_per_fu=0.000 total_energy_ev_per_cell=-11.9 formation_energy_kj_per_mol_fu=-20.5 pbc="T T T"
Sr 0.000 3.048 0.000
Sr 3.048 0.000 0.000
Mg 0.000 0.000 2.723
Ag 3.048 3.048 0.000
Bi 3.048 3.048 2.723

Record 5
12
Lattice="3.051 0.000 0.000 -1.526 2.643 0.000 0.000 0.000 24.663" Properties=species:S:1:pos:R:3 comment="Li2AsAu PBE relaxed" magmom_total_mub_per_fu=0.000 total_energy_ev_per_cell=-39.4 formation_energy_kj_per_mol_fu=-133.1 pbc="T T T"
Li 0.000 0.000 6.081
Li 0.000 0.000 18.583
Li 0.000 1.762 10.362
Li 0.000 1.762 22.523
Li 1.526 0.881 2.141
Li 1.526 0.881 14.302
As 0.000 0.000 12.332
As 0.000 1.762 4.111
As 1.526 0.881 20.553
Au 0.000 0.000 0.000
Au 0.000 1.762 16.442
Au 1.526 0.881 8.221

Record 6
10
Lattice="8.799 0.000 0.000 0.000 4.177 0.000 -1.743 0.000 4.965" Properties=species:S:1:pos:R:3 comment="GaAgSbOsPt PBE relaxed" e_form_raw_ev_per_atom=0.10 de_polymorph_mev_per_atom=164 magmom_total_mub_per_fu=0.000 total_energy_ev_per_cell=-53.6 pbc="T T T"
Ga 0.000 0.000 0.000
Ga 4.399 2.089 0.000
Ag -0.170 2.089 4.122
Ag 4.229 0.000 4.122
Sb 1.539 0.000 2.642
Sb 5.938 2.089 2.642
Os 3.239 2.089 2.385
Os 7.639 0.000 2.385
Pt 2.991 0.000 0.402
Pt 7.391 2.089 0.402

Record 7
12
Lattice="4.501 0.000 0.000 -2.250 3.898 0.000 0.000 0.000 14.559" Properties=species:S:1:pos:R:3 comment="Sm2GaPd3 PBE relaxed" de_polymorph_mev_per_atom=27 magmom_total_mub_per_fu=0.000 total_energy_ev_per_cell=-65.3 formation_energy_kj_per_mol_fu=-442.8 pbc="T T T"
Sm 0.000 0.000 1.792
Sm 0.000 0.000 5.487
Sm 0.000 0.000 9.072
Sm 0.000 0.000 12.767
Ga 0.000 2.598 3.640
Ga 2.250 1.299 10.919
Pd 0.000 2.598 0.323
Pd 0.000 2.598 6.956
Pd 0.000 2.598 10.919
Pd 2.250 1.299 3.640
Pd 2.250 1.299 7.603
Pd 2.250 1.299 14.235

Record 8
4
Lattice="3.527 0.000 0.000 0.000 3.527 0.000 0.000 0.000 9.508" Properties=species:S:1:pos:R:3 comment="Ca2ZrPb PBE relaxed" magmom_total_mub_per_fu=0.000 total_energy_ev_per_cell=-16.3 formation_energy_kj_per_mol_fu=0.9 pbc="T T T"
Ca 0.000 0.000 2.295
Ca 0.000 0.000 7.214
Zr 1.763 1.763 4.754
Pb 1.763 1.763 0.000

Record 9
12
Lattice="5.727 0.000 0.000 0.000 5.727 0.000 0.000 0.000 5.727" Properties=species:S:1:pos:R:3 comment="LiPdS PBE relaxed" e_form_raw_ev_per_atom=-0.61 magmom_total_mub_per_fu=0.000 total_energy_ev_per_cell=-52.3 pbc="T T T"
Li 0.000 0.000 0.000
Li 0.000 2.864 2.864
Li 2.864 0.000 2.864
Li 2.864 2.864 0.000
Pd 0.000 0.000 2.864
Pd 0.000 2.864 0.000
Pd 2.864 0.000 0.000
Pd 2.864 2.864 2.864
S 1.432 1.432 1.432
S 1.432 4.295 4.295
S 4.295 1.432 4.295
S 4.295 4.295 1.432

Record 10
12
Lattice="2.497 1.441 8.353 -2.497 1.441 8.353 0.000 -2.883 8.353" Properties=species:S:1:pos:R:3 comment="PmTh2Co9 PBE relaxed" magmom_total_mub_per_fu=8.358 total_energy_ev_per_cell=-85.3 formation_energy_kj_per_mol_fu=-168.0 pbc="T T T"
Pm 0.000 0.000 0.000
Th 0.000 0.000 3.438
Th 0.000 0.000 21.619
Co -1.241 -0.717 10.348
Co 0.000 0.000 8.343
Co 0.000 -1.434 14.710
Co -1.241 0.717 14.710
Co 0.000 0.000 12.529
Co 1.241 -0.717 10.348
Co 0.000 1.434 10.348
Co 0.000 0.000 16.714
Co 1.241 0.717 14.710

Record 11
38
Lattice="8.178 0.000 0.000 -4.089 7.082 0.000 0.000 0.000 7.319" Properties=species:S:1:pos:R:3 comment="Zr6FeSn2H10 PBE relaxed" magmom_total_mub_per_fu=1.147 total_energy_ev_per_cell=-219.6 pbc="T T T"
Zr -3.045 5.274 0.000
Zr -3.045 5.274 3.659
Zr -1.331 2.975 1.830
Zr 1.044 1.808 0.000
Zr 1.044 1.808 3.659
Zr -0.847 6.748 1.830
Zr 3.242 0.335 5.489
Zr 2.178 4.442 1.830
Zr 2.758 4.107 5.489
Zr 6.090 0.000 0.000
Zr 6.090 0.000 3.659
Zr 6.267 2.640 5.489
Fe 0.000 0.000 1.830
Fe 0.000 0.000 5.489
Sn 0.000 4.722 3.969
Sn 0.000 4.722 7.010
Sn 4.089 2.361 0.309
Sn 4.089 2.361 3.350
H 0.000 0.000 0.000
H 0.000 0.000 3.659
H -1.136 1.967 0.000
H -1.136 1.967 3.659
H -1.993 5.003 1.830
H -2.630 6.232 5.489
H 0.007 1.688 5.489
H 1.459 0.850 1.830
H 2.271 0.000 0.000
H 2.271 0.000 3.659
H 0.753 2.855 1.830
H 2.096 2.079 5.489
H 1.240 6.307 1.830
H 5.329 0.775 5.489
H 2.953 5.115 0.000
H 2.953 5.115 3.659
H 2.623 6.244 5.489
H 6.712 0.838 1.830
H 4.096 5.394 1.830
H 4.842 4.228 5.489

Record 12
16
Lattice="7.910 0.000 0.000 0.000 11.380 0.000 0.000 0.000 3.993" Properties=species:S:1:pos:R:3 comment="Pr2SnS5 PBE relaxed" e_form_raw_ev_per_atom=-1.44 de_polymorph_mev_per_atom=0 magmom_total_mub_per_fu=0.000 total_energy_ev_per_cell=-91.4 pbc="T T T"
Pr 0.496 1.939 0.000
Pr 3.458 7.629 0.000
Pr 4.451 3.751 0.000
Pr 7.413 9.441 0.000
Sn 0.000 5.690 1.996
Sn 3.955 0.000 1.996
S 0.000 0.000 1.996
S 1.207 7.975 1.996
S 1.463 4.820 0.000
S 2.492 10.510 0.000
S 2.748 2.285 1.996
S 3.955 5.690 1.996
S 5.162 9.095 1.996
S 5.418 0.871 0.000
S 6.447 6.561 0.000
S 6.703 3.405 1.996

Record 13
8
Lattice="2.918 0.000 0.000 0.000 5.537 0.000 0.000 0.000 7.800" Properties=species:S:1:pos:R:3 comment="CoTcCl2 PBE relaxed" e_form_raw_ev_per_atom=0.58 de_polymorph_mev_per_atom=597 magmom_total_mub_per_fu=2.137 total_energy_ev_per_cell=-37.7 pbc="T T T"
Co 0.000 0.000 0.000
Co 1.459 2.768 0.000
Tc 0.000 0.000 3.900
Tc 1.459 2.768 3.900
Cl 0.000 2.768 1.907
Cl 0.000 2.768 5.893
Cl 1.459 0.000 1.907
Cl 1.459 0.000 5.893

Record 14
12
Lattice="3.154 0.000 0.000 -1.577 2.732 0.000 0.000 0.000 27.724" Properties=species:S:1:pos:R:3 comment="AlReSe2 PBE relaxed" e_form_raw_ev_per_atom=-0.18 magmom_total_mub_per_fu=0.000 total_energy_ev_per_cell=-71.6 pbc="T T T"
Al 0.000 0.000 0.000
Al 0.000 1.821 18.483
Al 1.577 0.911 9.241
Re 0.000 0.000 20.565
Re 0.000 1.821 11.324
Re 1.577 0.911 2.082
Se 0.000 0.000 7.464
Se 0.000 0.000 12.994
Se 0.000 1.821 3.752
Se 0.000 1.821 25.947
Se 1.577 0.911 16.706
Se 1.577 0.911 22.235

Record 15
47
Lattice="5.547 3.202 6.733 -5.547 3.202 6.733 0.000 -6.405 6.733" Properties=species:S:1:pos:R:3 comment="Y6Pb8OF32 PBE relaxed" e_form_raw_ev_per_atom=-3.22 magmom_total_mub_per_fu=0.160 total_energy_ev_per_cell=-284.7 pbc="T T T"
Y -1.729 -1.862 8.355
Y -2.477 0.566 11.844
Y -0.749 2.428 8.355
Y 0.749 -2.428 11.844
Y 2.477 -0.566 8.355
Y 1.729 1.862 11.844
Pb -4.832 1.157 8.315
Pb -3.418 -3.606 11.885
Pb 0.000 0.000 5.384
Pb 1.413 -4.763 8.315
Pb -1.413 4.763 11.885
Pb 0.000 0.000 14.815
Pb 3.418 3.606 8.315
Pb 4.832 -1.157 11.885
O 0.000 0.000 0.000
F -2.376 0.336 4.456
F -1.732 -1.895 6.007
F -0.927 -3.925 7.619
F 0.000 0.000 2.868
F 0.897 -2.226 4.456
F -3.863 -1.159 12.580
F -2.656 -0.826 10.090
F -2.935 2.766 7.619
F -1.531 0.351 7.807
F -0.613 -2.714 10.110
F 0.462 -1.501 7.807
F -0.775 2.448 6.007
F -2.044 1.887 10.110
F 1.479 1.890 4.456
F -1.069 -1.151 12.392
F 2.507 -0.553 6.007
F -2.507 0.553 14.192
F 1.069 1.151 7.807
F -1.479 -1.890 15.744
F 2.044 -1.887 10.090
F 0.775 -2.448 14.192
F -0.462 1.501 12.392
F 0.613 2.714 10.090
F 1.531 -0.351 12.392
F 2.935 -2.766 12.580
F 2.656 0.826 10.110
F 3.863 1.159 7.619
F -0.897 2.226 15.744
F 0.000 0.000 17.331
F 0.927 3.925 12.580
F 1.732 1.895 14.192
F 2.376 -0.336 15.744

Record 16
5
Lattice="5.848 0.000 0.000 0.000 5.848 0.000 0.000 0.000 5.590" Properties=species:S:1:pos:R:3 comment="GaGeSbI2 PBE relaxed" e_form_raw_ev_per_atom=0.27 de_polymorph_mev_per_atom=0 magmom_total_mub_per_fu=1.510 total_energy_ev_per_cell=-13.5 pbc="T T T"
Ga 0.000 0.000 0.000
Ge 2.924 2.924 2.795
Sb 2.924 2.924 0.000
I 0.000 2.924 2.795
I 2.924 0.000 2.795

Record 17
5
Lattice="3.906 0.000 0.000 0.000 3.906 0.000 0.000 0.000 4.003" Properties=species:S:1:pos:R:3 comment="TaFeHIr2 PBE relaxed" de_polymorph_mev_per_atom=125 magmom_total_mub_per_fu=1.894 total_energy_ev_per_cell=-42.4 pbc="T T T"
Ta 0.000 0.000 0.000
Fe 1.953 1.953 0.000
H 0.000 0.000 2.001
Ir 0.000 1.953 2.001
Ir 1.953 0.000 2.001

Record 18
14
Lattice="5.918 0.000 0.000 0.000 5.918 0.000 0.000 0.000 18.089" Properties=species:S:1:pos:R:3 comment="K2Hg4Bi PBE relaxed" de_polymorph_mev_per_atom=117 magmom_total_mub_per_fu=0.000 total_energy_ev_per_cell=-16.2 formation_energy_kj_per_mol_fu=-77.6 pbc="T T T"
K 0.000 0.000 2.229
K 0.000 0.000 15.860
K 2.959 2.959 6.815
K 2.959 2.959 11.273
Hg 0.000 0.000 5.653
Hg 0.000 0.000 12.435
Hg 0.000 2.959 0.000
Hg 0.000 2.959 9.044
Hg 2.959 0.000 0.000
Hg 2.959 0.000 9.044
Hg 2.959 2.959 3.391
Hg 2.959 2.959 14.697
Bi 0.000 0.000 9.044
Bi 2.959 2.959 0.000

Record 19
15
Lattice="5.786 0.000 0.000 -2.893 5.011 0.000 0.000 0.000 9.997" Properties=species:S:1:pos:R:3 comment="Ce3HfP2Rh9 PBE relaxed" magmom_total_mub_per_fu=0.657 total_energy_ev_per_cell=-114.4 formation_energy_kj_per_mol_fu=-932.8 pbc="T T T"
Ce 0.000 0.000 0.000
Ce 0.000 3.341 6.684
Ce 2.893 1.670 3.314
Hf 0.000 0.000 4.999
P 0.000 3.341 1.542
P 2.893 1.670 8.456
Rh -1.447 2.506 0.000
Rh 0.000 1.606 2.947
Rh -1.502 4.208 2.947
Rh 1.391 0.803 7.050
Rh 2.893 0.000 0.000
Rh 1.447 2.506 0.000
Rh 1.502 4.208 2.947
Rh 4.395 0.803 7.050
Rh 2.893 3.405 7.050

Record 20
3
Lattice="4.417 0.000 0.000 -2.208 3.825 0.000 0.000 0.000 3.033" Properties=species:S:1:pos:R:3 comment="TaMoSe PBE relaxed" e_form_raw_ev_per_atom=0.12 de_polymorph_mev_per_atom=207 magmom_total_mub_per_fu=0.000 total_energy_ev_per_cell=-25.8 pbc="T T T"
Ta 0.000 0.000 0.000
Mo 2.208 1.275 1.809
Se 0.000 2.550 1.766